PrNdN | GGA-PBE | optimized geometry

Geometry as extended XYZ:
```
6
Lattice="-0.084 0.527 -3.586 -4.848 -1.868 -0.161 -2.816 7.214 1.127" Properties=species:S:1:pos:R:3 pbc="T T T"
Nd -3.802 6.401 -1.718
Nd -3.947 -0.528 -0.901
N -6.169 5.321 -1.821
N -1.580 0.552 -0.798
Pr -2.234 2.384 -2.346
Pr -5.515 3.489 -0.273
```

Computed properties:
space-group type = Pmmn, No. 59
formation energy from raw total energies = -0.872 eV per atom
ΔE to the lowest computed polymorph = 0.0 meV/atom

PrNdN | GGA-PBE | optimized geometry

Geometry as extended XYZ:
```
6
Lattice="-1.445 2.656 2.011 0.456 -3.000 4.291 8.510 0.255 -0.726" Properties=species:S:1:pos:R:3 pbc="T T T"
Nd 2.169 0.901 2.009
Nd 5.352 -0.991 3.566
N 7.575 -1.705 2.830
N -0.054 1.616 2.745
Pr 0.005 0.046 4.859
Pr 7.516 -0.135 0.716
```

Computed properties:
space-group type = P2_1/m, No. 11
formation energy from raw total energies = -0.862 eV per atom
ΔE to the lowest computed polymorph = 10.2 meV/atom

Pr3NdN4 | GGA-PBE | optimized geometry

Geometry as extended XYZ:
```
8
Lattice="-1.912 -3.814 -2.984 4.196 0.296 -3.067 2.417 -3.531 2.965" Properties=species:S:1:pos:R:3 pbc="T T T"
N -0.956 -1.907 -1.492
N 2.098 0.148 -1.534
N 2.351 -3.524 -1.543
N 1.208 -1.765 1.483
Pr 1.142 -1.759 -3.025
Pr 0.253 -3.672 -0.009
Pr 3.306 -1.617 -0.051
Nd 0.000 0.000 0.000
```

Computed properties:
space-group type = Pm-3m, No. 221
formation energy from raw total energies = -1.305 eV per atom

Total energy (eV per cell)
-41.0; -40.9; -62.8